YHf2In3Ir2 | GGA-PBE | relaxed

a = 3.3425 Å, b = 7.6491 Å, c = 7.6491 Å
α = 120.97°, β = 90.00°, γ = 90.00°
Element x y z (fractional)
Y (0.0000, 0.4185, 0.4185)
Ir (0.5000, 0.3298, 0.6785)
In (0.5000, 0.7716, 0.7716)
Hf (0.0000, 0.0004, 0.5756)
Hf (0.0000, 0.5756, 0.0004)
Ir (0.5000, 0.6785, 0.3298)
In (0.5000, 0.2300, 0.9956)
In (0.5000, 0.9956, 0.2300)

## Properties
**Electronic total energy**: -7.133 eV/atom
**Symmetry**: Amm2, No. 38